# Tb2EuBi PBE-GGA optimized geometry
data_Tb2EuBi
_cell_length_a 4.162
_cell_length_b 4.162
_cell_length_c 7.301
_cell_angle_alpha 90.00
_cell_angle_beta 90.00
_cell_angle_gamma 90.00
_symmetry_space_group_name_H-M 'P 4/m m m'
_symmetry_Int_Tables_number 123
_symmetry_space_group_name_Hall '-P 4 2'
loop_
_atom_site_label
_atom_site_fract_x
_atom_site_fract_y
_atom_site_fract_z
Tb1 0.000 0.000 0.226
Eu1 0.500 0.500 0.500
Bi1 0.500 0.500 0.000
# E above lowest polymorph, meV per atom: 34
# ΔH_f (0 K), kcal/mol of atoms: -7.1
# N(E_F), states/eV/atom: 1.114

---

# TbEu2Bi PBE-GGA optimized geometry
data_TbEu2Bi
_cell_length_a 4.978
_cell_length_b 4.978
_cell_length_c 5.188
_cell_angle_alpha 90.00
_cell_angle_beta 90.00
_cell_angle_gamma 90.00
_symmetry_space_group_name_H-M 'P 4/m m m'
_symmetry_Int_Tables_number 123
_symmetry_space_group_name_Hall '-P 4 2'
loop_
_atom_site_label
_atom_site_fract_x
_atom_site_fract_y
_atom_site_fract_z
Tb1 0.000 0.000 0.000
Eu1 0.000 0.500 0.500
Bi1 0.500 0.500 0.000
# ΔH_f (0 K), kcal/mol of atoms: -9.0
# N(E_F), states/eV/atom: 1.014

---

# Tb2EuBi PBE-GGA optimized geometry
data_Tb2EuBi
_cell_length_a 4.976
_cell_length_b 4.976
_cell_length_c 4.899
_cell_angle_alpha 90.00
_cell_angle_beta 90.00
_cell_angle_gamma 90.00
_symmetry_space_group_name_H-M 'P 4/m m m'
_symmetry_Int_Tables_number 123
_symmetry_space_group_name_Hall '-P 4 2'
loop_
_atom_site_label
_atom_site_fract_x
_atom_site_fract_y
_atom_site_fract_z
Tb1 0.000 0.500 0.000
Eu1 0.000 0.000 0.500
Bi1 0.500 0.500 0.500
# E above lowest polymorph, meV per atom: 0
# ΔH_f (0 K), kcal/mol of atoms: -7.9
# N(E_F), states/eV/atom: 1.213

---

# TbEuBi PBE-GGA optimized geometry
data_TbEuBi
_cell_length_a 5.2668
_cell_length_b 5.2668
_cell_length_c 4.3374
_cell_angle_alpha 90.00
_cell_angle_beta 90.00
_cell_angle_gamma 120.00
_symmetry_space_group_name_H-M 'P 3 m 1'
_symmetry_Int_Tables_number 156
_symmetry_space_group_name_Hall 'P 3 -2"'
loop_
_atom_site_label
_atom_site_fract_x
_atom_site_fract_y
_atom_site_fract_z
Tb1 0.0000 0.0000 0.0000
Eu1 0.3333 0.6667 0.5202
Bi1 0.6667 0.3333 0.1059
# E above lowest polymorph, meV per atom: 132
# ΔH_f (0 K), kcal/mol of atoms: -8.5
# N(E_F), states/eV/atom: 0.925

---

# Tb2EuBi PBE-GGA optimized geometry
data_Tb2EuBi
_cell_length_a 3.5948
_cell_length_b 3.5948
_cell_length_c 37.0731
_cell_angle_alpha 90.00
_cell_angle_beta 90.00
_cell_angle_gamma 120.00
_symmetry_space_group_name_H-M 'R -3 m'
_symmetry_Int_Tables_number 166
_symmetry_space_group_name_Hall '-R 3 2"'
loop_
_atom_site_label
_atom_site_fract_x
_atom_site_fract_y
_atom_site_fract_z
Tb1 0.0000 0.0000 0.0849
Eu1 0.0000 0.0000 0.5000
Bi1 0.0000 0.0000 0.0000
# E above lowest polymorph, meV per atom: 413
# ΔH_f (0 K), kcal/mol of atoms: 1.6
# N(E_F), states/eV/atom: 1.084

---

# TbEuTlBi PBE-GGA optimized geometry
data_TbEuTlBi
_cell_length_a 7.862
_cell_length_b 7.862
_cell_length_c 7.862
_cell_angle_alpha 90.00
_cell_angle_beta 90.00
_cell_angle_gamma 90.00
_symmetry_space_group_name_H-M 'F -4 3 m'
_symmetry_Int_Tables_number 216
_symmetry_space_group_name_Hall 'F -4 2 3'
loop_
_atom_site_label
_atom_site_fract_x
_atom_site_fract_y
_atom_site_fract_z
Tb1 0.000 0.000 0.000
Eu1 0.000 0.000 0.500
Tl1 0.250 0.250 0.750
Bi1 0.250 0.250 0.250
# ΔH_f (0 K), kcal/mol of atoms: -10.9
# N(E_F), states/eV/atom: 0.783

---

# Eu2BiTe PBE-GGA optimized geometry
data_Eu2BiTe
_cell_length_a 3.933
_cell_length_b 3.933
_cell_length_c 8.368
_cell_angle_alpha 90.00
_cell_angle_beta 90.00
_cell_angle_gamma 90.00
_symmetry_space_group_name_H-M 'P 4/m m m'
_symmetry_Int_Tables_number 123
_symmetry_space_group_name_Hall '-P 4 2'
loop_
_atom_site_label
_atom_site_fract_x
_atom_site_fract_y
_atom_site_fract_z
Eu1 0.000 0.000 0.236
Bi1 0.500 0.500 0.500
Te1 0.500 0.500 0.000
# E above lowest polymorph, meV per atom: 93
# N(E_F), states/eV/atom: 3.934

---

# Eu2BiTe PBE-GGA optimized geometry
data_Eu2BiTe
_cell_length_a 4.5677
_cell_length_b 4.5677
_cell_length_c 23.6830
_cell_angle_alpha 90.00
_cell_angle_beta 90.00
_cell_angle_gamma 120.00
_symmetry_space_group_name_H-M 'R -3 m'
_symmetry_Int_Tables_number 166
_symmetry_space_group_name_Hall '-R 3 2"'
loop_
_atom_site_label
_atom_site_fract_x
_atom_site_fract_y
_atom_site_fract_z
Eu1 0.0000 0.0000 0.2482
Bi1 0.0000 0.0000 0.0000
Te1 0.0000 0.0000 0.5000
# E above lowest polymorph, meV per atom: 0
# N(E_F), states/eV/atom: 5.688

---

# EuThBi2 PBE-GGA optimized geometry
data_EuThBi2
_cell_length_a 7.984
_cell_length_b 7.984
_cell_length_c 7.984
_cell_angle_alpha 90.00
_cell_angle_beta 90.00
_cell_angle_gamma 90.00
_symmetry_space_group_name_H-M 'F m -3 m'
_symmetry_Int_Tables_number 225
_symmetry_space_group_name_Hall '-F 4 2 3'
loop_
_atom_site_label
_atom_site_fract_x
_atom_site_fract_y
_atom_site_fract_z
Eu1 0.000 0.000 0.000
Th1 0.000 0.000 0.500
Bi1 0.250 0.250 0.250
# E above lowest polymorph, meV per atom: 196
# ΔH_f (0 K), kcal/mol of atoms: -13.4
# N(E_F), states/eV/atom: 0.868

---

# EuThBi2 PBE-GGA optimized geometry
data_EuThBi2
_cell_length_a 3.935
_cell_length_b 3.935
_cell_length_c 8.309
_cell_angle_alpha 90.00
_cell_angle_beta 90.00
_cell_angle_gamma 90.00
_symmetry_space_group_name_H-M 'P 4/m m m'
_symmetry_Int_Tables_number 123
_symmetry_space_group_name_Hall '-P 4 2'
loop_
_atom_site_label
_atom_site_fract_x
_atom_site_fract_y
_atom_site_fract_z
Eu1 0.000 0.000 0.000
Th1 0.000 0.000 0.500
Bi1 0.500 0.500 0.259
# E above lowest polymorph, meV per atom: 155
# ΔH_f (0 K), kcal/mol of atoms: -14.4
# N(E_F), states/eV/atom: 0.951

---

# EuThBi2 PBE-GGA optimized geometry
data_EuThBi2
_cell_length_a 4.6533
_cell_length_b 4.6533
_cell_length_c 22.9044
_cell_angle_alpha 90.00
_cell_angle_beta 90.00
_cell_angle_gamma 120.00
_symmetry_space_group_name_H-M 'R -3 m'
_symmetry_Int_Tables_number 166
_symmetry_space_group_name_Hall '-R 3 2"'
loop_
_atom_site_label
_atom_site_fract_x
_atom_site_fract_y
_atom_site_fract_z
Eu1 0.0000 0.0000 0.0000
Th1 0.0000 0.0000 0.5000
Bi1 0.0000 0.0000 0.2471
# E above lowest polymorph, meV per atom: 0
# ΔH_f (0 K), kcal/mol of atoms: -17.9
# N(E_F), states/eV/atom: 3.442

---

# EuThTlBi PBE-GGA optimized geometry
data_EuThTlBi
_cell_length_a 7.920
_cell_length_b 7.920
_cell_length_c 7.920
_cell_angle_alpha 90.00
_cell_angle_beta 90.00
_cell_angle_gamma 90.00
_symmetry_space_group_name_H-M 'F -4 3 m'
_symmetry_Int_Tables_number 216
_symmetry_space_group_name_Hall 'F -4 2 3'
loop_
_atom_site_label
_atom_site_fract_x
_atom_site_fract_y
_atom_site_fract_z
Eu1 0.000 0.000 0.000
Th1 0.000 0.000 0.500
Tl1 0.250 0.250 0.750
Bi1 0.250 0.250 0.250
# ΔH_f (0 K), kcal/mol of atoms: -7.5
# N(E_F), states/eV/atom: 1.262